Density functional theory data (GGA-PBE) for a relaxed structure of Cu5Ag3.

Cell lengths 11.266, 2.765, 9.184 Å; angles 90.00, 127.65, 90.00 degrees
Fractional coordinates of all 16 atoms:
Cu: 0.000 0.000 0.000
Cu: 0.006 0.500 0.480
Cu: 0.118 0.000 0.364
Cu: 0.136 0.500 0.899
Cu: 0.386 0.000 0.123
Cu: 0.500 0.500 0.000
Cu: 0.506 0.000 0.480
Cu: 0.618 0.500 0.364
Cu: 0.636 0.000 0.899
Cu: 0.886 0.500 0.123
Ag: 0.243 0.000 0.751
Ag: 0.253 0.500 0.247
Ag: 0.391 0.500 0.628
Ag: 0.743 0.500 0.751
Ag: 0.753 0.000 0.247
Ag: 0.891 0.000 0.628

## Properties
ΔE_f: 0.09 eV/atom
Energy: -3.2927 eV per atom
ΔE to the lowest computed polymorph: 0.34 eV/f.u.
Crystal system: monoclinic

Density functional theory data (GGA-PBE) for a relaxed structure of Cu3Ag7.

Cell lengths 2.870, 3.972, 14.289 Å; angles 90.00, 90.00, 90.00 degrees
Fractional coordinates of all 10 atoms:
Cu: 0.000 0.000 0.000
Cu: 0.500 0.500 0.299
Cu: 0.500 0.500 0.701
Ag: 0.000 0.000 0.201
Ag: 0.000 0.000 0.395
Ag: 0.000 0.000 0.605
Ag: 0.000 0.000 0.799
Ag: 0.500 0.500 0.097
Ag: 0.500 0.500 0.500
Ag: 0.500 0.500 0.903

## Properties
ΔE_f: 0.08 eV/atom
Energy: -3.0124 eV per atom
ΔE to the lowest computed polymorph: 0.51 eV/f.u.
Crystal system: orthorhombic

> What is the energy in the first record?

-3.2927 eV per atom